Below is a relaxed La2PrNd6Ho crystal, with properties calculated at the GGA-PBE level.

## Properties
Its formation energy is 0.1077 eV per atom. The value obtained for the density of states at the Fermi level is 15.13 states/eV/f.u. The volume is 35.51 Å³/atom. The symmetry is No. 15.

The structure in POSCAR format:
```
La2PrNd6Ho
1.0
9.612 -2.215 -2.299
0.695 8.707 -2.030
0.695 -2.351 8.626
La Nd Pr Ho
4 12 2 2
Direct
0.542 0.195 0.291 La
0.042 0.291 0.195 La
0.458 0.805 0.709 La
0.958 0.709 0.805 La
0.945 0.881 0.261 Nd
0.445 0.261 0.881 Nd
0.055 0.119 0.739 Nd
0.880 0.299 0.506 Nd
0.811 0.423 0.984 Nd
0.380 0.506 0.299 Nd
0.120 0.701 0.494 Nd
0.620 0.494 0.701 Nd
0.311 0.984 0.423 Nd
0.689 0.016 0.577 Nd
0.555 0.739 0.119 Nd
0.189 0.577 0.016 Nd
0.750 0.013 0.987 Pr
0.250 0.987 0.013 Pr
0.750 0.594 0.406 Ho
0.250 0.406 0.594 Ho
```